[1]
3
Lattice="4.160 0.000 0.000 -2.080 3.602 0.000 0.000 0.000 3.650" Properties=species:S:1:pos:R:3 comment="GdCuNi (PBE, optimized geometry)" crystal_system=hexagonal magmom_total_mub_per_fu=7.2 spacegroup=P-6m2 formation_enthalpy_0k_ev_per_atom=-0.30 pbc="T T T"
Gd 0.000 0.000 0.000
Cu 0.000 2.402 1.825
Ni 2.080 1.201 1.825

=====

[2]
4
Lattice="0.000 3.459 3.459 3.459 0.000 3.459 3.459 3.459 0.000" Properties=species:S:1:pos:R:3 comment="Gd2CuNi (PBE, optimized geometry)" crystal_system=cubic magmom_total_mub_per_fu=14.2 spacegroup=Fm-3m polymorph_energy_mev_per_atom=0.4 formation_enthalpy_0k_ev_per_atom=-0.27 pbc="T T T"
Gd 1.730 1.730 1.730
Gd 5.189 5.189 5.189
Cu 0.000 0.000 0.000
Ni 3.459 3.459 3.459

=====

[3]
4
Lattice="3.454 0.000 0.000 0.000 3.454 0.000 0.000 0.000 6.953" Properties=species:S:1:pos:R:3 comment="Gd2CuNi (PBE, optimized geometry)" crystal_system=tetragonal magmom_total_mub_per_fu=14.4 spacegroup=P4/mmm polymorph_energy_mev_per_atom=0.0 formation_enthalpy_0k_ev_per_atom=-0.27 pbc="T T T"
Gd 0.000 0.000 1.677
Gd 0.000 0.000 5.276
Cu 1.727 1.727 3.476
Ni 1.727 1.727 0.000

=====

[4]
4
Lattice="2.055 1.186 4.523 -2.055 1.186 4.523 0.000 -2.373 4.523" Properties=species:S:1:pos:R:3 comment="GdCuNi2 (PBE, optimized geometry)" crystal_system=trigonal magmom_total_mub_per_fu=7.1 spacegroup=R-3m polymorph_energy_mev_per_atom=0.0 formation_enthalpy_0k_ev_per_atom=-0.27 pbc="T T T"
Gd 0.000 0.000 0.000
Cu 0.000 0.000 6.784
Ni 0.000 0.000 2.697
Ni 0.000 0.000 10.871

=====

Number 1: electronic total energy -8.284 eV/atom. Number 2: electronic total energy -9.782 eV/atom. Number 3: electronic total energy -9.783 eV/atom. Number 4: electronic total energy -7.706 eV/atom.